# CdMo2Cl, relaxed, DFT PBE
data_CdMo2Cl
_chemical_formula_sum 'Cd1 Mo2 Cl1'
_cell_length_a 5.660
_cell_length_b 3.722
_cell_length_c 3.722
_cell_angle_alpha 90.00
_cell_angle_beta 90.00
_cell_angle_gamma 90.00
_space_group_name_H-M_alt 'P 1'
_space_group_IT_number 1
loop_
_space_group_symop_operation_xyz
'x,y,z'
loop_
_atom_site_label
_atom_site_type_symbol
_atom_site_fract_x
_atom_site_fract_y
_atom_site_fract_z
_atom_site_occupancy
Mo1 Mo 0.000 0.000 0.000 1
Mo2 Mo 0.000 0.500 0.500 1
Cl1 Cl 0.500 0.000 0.500 1
Cd1 Cd 0.500 0.500 0.000 1
# Polymorph energy (0 for the lowest one) (kcal/mol of atoms): 21.288
# Formation energy from raw total energies (eV per atom): 0.981
# Symmetry: P4/mmm
# Total magnetic moment (μB per formula unit): 0.00
# Energy (eV/atom): -5.125
# Density (Mg/m³): 7.19